Entry 1:
The following is a PBE calculation of YSbSe2 after structural relaxation, from the Alexandria database.

Values from the calculation:
size of the total moment = 0.00 μB per formula unit
formation energy (no corrections) = -3.4 eV/f.u.
calculated total energy = -5.243 eV per atom

Unit cell a=8.634 b=3.932 c=6.510 alpha=90.00 beta=99.17 gamma=90.00
Sites, in units of the cell vectors:
Y1 0.000 0.000 0.000
Y2 0.500 0.500 0.000
Sb1 0.000 0.500 0.500
Sb2 0.500 0.000 0.500
Se1 0.210 0.500 0.221
Se2 0.290 0.000 0.779
Se3 0.710 0.000 0.221
Se4 0.790 0.500 0.779


Entry 2:
The following is a PBE calculation of SmHfSb3 after structural relaxation, from the Alexandria database.

Values from the calculation:
size of the total moment = 0.00 μB per formula unit
formation energy (no corrections) = -3.4 eV/f.u.
calculated total energy = -6.095 eV per atom

Unit cell a=13.361 b=6.373 c=6.359 alpha=90.00 beta=90.00 gamma=90.00
Sites, in units of the cell vectors:
Sm1 0.180 0.012 0.250
Sm2 0.180 0.488 0.750
Sm3 0.820 0.512 0.250
Sm4 0.820 0.988 0.750
Hf1 0.409 0.750 0.000
Hf2 0.409 0.750 0.500
Hf3 0.591 0.250 0.000
Hf4 0.591 0.250 0.500
Sb1 0.003 0.750 0.000
Sb2 0.003 0.750 0.500
Sb3 0.261 0.508 0.250
Sb4 0.261 0.992 0.750
Sb5 0.419 0.124 0.250
Sb6 0.419 0.376 0.750
Sb7 0.581 0.624 0.250
Sb8 0.581 0.876 0.750
Sb9 0.739 0.008 0.250
Sb10 0.739 0.492 0.750
Sb11 0.997 0.250 0.000
Sb12 0.997 0.250 0.500


Entry 3:
The following is a PBE calculation of LiIn4Ni after structural relaxation, from the Alexandria database.

Values from the calculation:
size of the total moment = 0.00 μB per formula unit
calculated total energy = -2.738 eV per atom

Unit cell a=5.912 b=5.912 c=5.912 alpha=60.00 beta=60.00 gamma=60.00
Sites, in units of the cell vectors:
Li1 0.000 0.000 0.000
In1 0.375 0.375 0.375
In2 0.375 0.375 0.874
In3 0.375 0.874 0.375
In4 0.874 0.375 0.375
Ni1 0.750 0.750 0.750


Entry 4:
The following is a PBE calculation of Cs2HgSbPd after structural relaxation, from the Alexandria database.

Values from the calculation:
size of the total moment = 0.00 μB per formula unit
formation energy (no corrections) = -1.3 eV/f.u.
calculated total energy = -2.519 eV per atom

Unit cell a=6.901 b=6.901 c=5.052 alpha=90.00 beta=90.00 gamma=90.00
Sites, in units of the cell vectors:
Cs1 0.000 0.500 0.000
Cs2 0.500 0.000 0.000
Hg1 0.000 0.000 0.500
Sb1 0.500 0.500 0.500
Pd1 0.500 0.500 0.000


Entry 5:
The following is a PBE calculation of Na4Pm3SnS8 after structural relaxation, from the Alexandria database.

Values from the calculation:
size of the total moment = 0.00 μB per formula unit
formation energy (no corrections) = -24.4 eV/f.u.
calculated total energy = -5.059 eV per atom

Unit cell a=8.177 b=8.177 c=8.177 alpha=59.70 beta=59.70 gamma=59.70
Sites, in units of the cell vectors:
Na1 0.000 0.000 0.000
Na2 0.000 0.500 0.500
Na3 0.500 0.000 0.500
Na4 0.500 0.500 0.000
Pm1 0.000 0.000 0.500
Pm2 0.000 0.500 0.000
Pm3 0.500 0.000 0.000
Sn1 0.500 0.500 0.500
S1 0.244 0.244 0.244
S2 0.250 0.739 0.739
S3 0.261 0.261 0.750
S4 0.261 0.750 0.261
S5 0.739 0.250 0.739
S6 0.739 0.739 0.250
S7 0.750 0.261 0.261
S8 0.756 0.756 0.756


Entry 6:
The following is a PBE calculation of Ti2GeB after structural relaxation, from the Alexandria database.

Values from the calculation:
polymorph energy (0 for the lowest one) = 0.0 meV per atom
size of the total moment = 0.00 μB per formula unit
calculated total energy = -7.279 eV per atom

Unit cell a=3.185 b=3.185 c=19.841 alpha=90.00 beta=90.00 gamma=120.00
Sites, in units of the cell vectors:
Ti1 0.000 0.000 0.228
Ti2 0.000 0.000 0.772
Ti3 0.333 0.667 0.439
Ti4 0.333 0.667 0.894
Ti5 0.667 0.333 0.106
Ti6 0.667 0.333 0.561
Ge1 0.000 0.000 0.000
Ge2 0.333 0.667 0.667
Ge3 0.667 0.333 0.333
B1 0.000 0.000 0.500
B2 0.333 0.667 0.167
B3 0.667 0.333 0.833


Question: Look up the size of the total moment of the first one.
Answer: 0.00 μB per formula unit